## a
# KNaRh2 (PBE, optimized geometry)
# Volume = 20.452 A^3/atom
data_KNaRh2
_chemical_formula_sum 'K1 Na1 Rh2'
_space_group_name_H-M_alt 'P 1'
_space_group_IT_number 1
_space_group_name_Hall 'P 1'
_cell_length_a 4.8727
_cell_length_b 4.8727
_cell_length_c 4.8727
_cell_angle_alpha 60.00
_cell_angle_beta 60.00
_cell_angle_gamma 60.00
loop_
_atom_site_label
_atom_site_type_symbol
_atom_site_fract_x
_atom_site_fract_y
_atom_site_fract_z
K1 K 0.5000 0.5000 0.5000
Rh1 Rh 0.2500 0.2500 0.2500
Rh2 Rh 0.7500 0.7500 0.7500
Na1 Na 0.0000 0.0000 0.0000

## b
# KNaRh2 (PBE, optimized geometry)
# Volume = 22.928 A^3/atom
data_KNaRh2
_chemical_formula_sum 'K2 Na2 Rh4'
_space_group_name_H-M_alt 'P 1'
_space_group_IT_number 1
_space_group_name_Hall 'P 1'
_cell_length_a 4.1682
_cell_length_b 4.1682
_cell_length_c 10.9610
_cell_angle_alpha 79.04
_cell_angle_beta 79.04
_cell_angle_gamma 90.00
loop_
_atom_site_label
_atom_site_type_symbol
_atom_site_fract_x
_atom_site_fract_y
_atom_site_fract_z
Rh1 Rh 0.5304 0.1250 0.2500
Rh2 Rh 0.3750 0.4696 0.7500
Rh3 Rh 0.2196 0.6250 0.2500
Rh4 Rh 0.8750 0.7804 0.7500
Na1 Na 0.5000 0.5000 0.0000
Na2 Na 0.2500 0.7500 0.5000
K1 K 0.7500 0.2500 0.5000
K2 K 0.0000 0.0000 0.0000

Least stable = a

## a
# KNa3Rh (PBE, optimized geometry)
# Volume = 34.517 A^3/atom
data_KNa3Rh
_chemical_formula_sum 'K1 Na3 Rh1'
_space_group_name_H-M_alt 'P 1'
_space_group_IT_number 1
_space_group_name_Hall 'P 1'
_cell_length_a 5.5676
_cell_length_b 5.5676
_cell_length_c 5.5676
_cell_angle_alpha 90.00
_cell_angle_beta 90.00
_cell_angle_gamma 90.00
loop_
_atom_site_label
_atom_site_type_symbol
_atom_site_fract_x
_atom_site_fract_y
_atom_site_fract_z
Rh1 Rh 0.0000 0.0000 0.0000
Na1 Na 0.0000 0.5000 0.0000
Na2 Na 0.5000 0.0000 0.0000
Na3 Na 0.0000 0.0000 0.5000
K1 K 0.5000 0.5000 0.5000

## b
# KNa3Rh (PBE, optimized geometry)
# Volume = 33.374 A^3/atom
data_KNa3Rh
_chemical_formula_sum 'K1 Na3 Rh1'
_space_group_name_H-M_alt 'P 1'
_space_group_IT_number 1
_space_group_name_Hall 'P 1'
_cell_length_a 5.5054
_cell_length_b 5.5054
_cell_length_c 5.5054
_cell_angle_alpha 90.00
_cell_angle_beta 90.00
_cell_angle_gamma 90.00
loop_
_atom_site_label
_atom_site_type_symbol
_atom_site_fract_x
_atom_site_fract_y
_atom_site_fract_z
K1 K 0.0000 0.0000 0.0000
Na1 Na 0.0000 0.0000 0.5000
Na2 Na 0.0000 0.5000 0.0000
Na3 Na 0.5000 0.0000 0.0000
Rh1 Rh 0.5000 0.5000 0.5000

Least stable = b

## a
# KNaSr2Rh (PBE, optimized geometry)
# Volume = 41.271 A^3/atom
data_KNaSr2Rh
_chemical_formula_sum 'K1 Na1 Sr2 Rh1'
_space_group_name_H-M_alt 'P 1'
_space_group_IT_number 1
_space_group_name_Hall 'P 1'
_cell_length_a 5.8408
_cell_length_b 5.8408
_cell_length_c 6.0489
_cell_angle_alpha 90.00
_cell_angle_beta 90.00
_cell_angle_gamma 90.00
loop_
_atom_site_label
_atom_site_type_symbol
_atom_site_fract_x
_atom_site_fract_y
_atom_site_fract_z
Na1 Na 0.0000 0.0000 0.5000
Sr1 Sr 0.0000 0.5000 0.0000
Sr2 Sr 0.5000 0.0000 0.0000
Rh1 Rh 0.0000 0.0000 0.0000
K1 K 0.5000 0.5000 0.5000

## b
# KNaSr2Rh (PBE, optimized geometry)
# Volume = 43.463 A^3/atom
data_KNaSr2Rh
_chemical_formula_sum 'K1 Na1 Sr2 Rh1'
_space_group_name_H-M_alt 'P 1'
_space_group_IT_number 1
_space_group_name_Hall 'P 1'
_cell_length_a 5.8164
_cell_length_b 5.8164
_cell_length_c 6.4236
_cell_angle_alpha 90.00
_cell_angle_beta 90.00
_cell_angle_gamma 90.00
loop_
_atom_site_label
_atom_site_type_symbol
_atom_site_fract_x
_atom_site_fract_y
_atom_site_fract_z
Sr1 Sr 0.5000 0.0000 0.0000
Sr2 Sr 0.0000 0.5000 0.0000
Na1 Na 0.5000 0.5000 0.5000
Rh1 Rh 0.0000 0.0000 0.0000
K1 K 0.0000 0.0000 0.5000

Least stable = b

## a
# K2NaRu2 (PBE, optimized geometry)
# Volume = 31.764 A^3/atom
data_K2NaRu2
_chemical_formula_sum 'K2 Na1 Ru2'
_space_group_name_H-M_alt 'P 1'
_space_group_IT_number 1
_space_group_name_Hall 'P 1'
_cell_length_a 3.5022
_cell_length_b 3.5022
_cell_length_c 13.1831
_cell_angle_alpha 82.37
_cell_angle_beta 82.37
_cell_angle_gamma 90.00
loop_
_atom_site_label
_atom_site_type_symbol
_atom_site_fract_x
_atom_site_fract_y
_atom_site_fract_z
Ru1 Ru 0.2500 0.7500 0.5000
Ru2 Ru 0.7500 0.2500 0.5000
K1 K 0.6372 0.6372 0.7257
K2 K 0.3628 0.3628 0.2743
Na1 Na 0.0000 0.0000 0.0000

## b
# K2NaRu2 (PBE, optimized geometry)
# Volume = 28.717 A^3/atom
data_K2NaRu2
_chemical_formula_sum 'K4 Na2 Ru4'
_space_group_name_H-M_alt 'P 1'
_space_group_IT_number 1
_space_group_name_Hall 'P 1'
_cell_length_a 10.1367
_cell_length_b 10.1367
_cell_length_c 2.7948
_cell_angle_alpha 90.00
_cell_angle_beta 90.00
_cell_angle_gamma 90.00
loop_
_atom_site_label
_atom_site_type_symbol
_atom_site_fract_x
_atom_site_fract_y
_atom_site_fract_z
Na1 Na 0.0000 0.0000 0.0000
Na2 Na 0.5000 0.5000 0.0000
K1 K 0.1976 0.3024 0.0000
K2 K 0.8024 0.6976 0.0000
K3 K 0.6976 0.1976 0.0000
K4 K 0.3024 0.8024 0.0000
Ru1 Ru 0.0776 0.5776 0.5000
Ru2 Ru 0.4224 0.0776 0.5000
Ru3 Ru 0.9224 0.4224 0.5000
Ru4 Ru 0.5776 0.9224 0.5000

Least stable = b

## a
# KNaS3 (PBE, optimized geometry)
# Volume = 28.824 A^3/atom
data_KNaS3
_chemical_formula_sum 'K1 Na1 S3'
_space_group_name_H-M_alt 'P 1'
_space_group_IT_number 1
_space_group_name_Hall 'P 1'
_cell_length_a 5.2429
_cell_length_b 5.2429
_cell_length_c 5.2429
_cell_angle_alpha 90.00
_cell_angle_beta 90.00
_cell_angle_gamma 90.00
loop_
_atom_site_label
_atom_site_type_symbol
_atom_site_fract_x
_atom_site_fract_y
_atom_site_fract_z
S1 S 0.0000 0.5000 0.0000
S2 S 0.5000 0.0000 0.0000
S3 S 0.0000 0.0000 0.5000
Na1 Na 0.0000 0.0000 0.0000
K1 K 0.5000 0.5000 0.5000

## b
# KNaS3 (PBE, optimized geometry)
# Volume = 37.548 A^3/atom
data_KNaS3
_chemical_formula_sum 'K1 Na1 S3'
_space_group_name_H-M_alt 'P 1'
_space_group_IT_number 1
_space_group_name_Hall 'P 1'
_cell_length_a 5.7260
_cell_length_b 5.7260
_cell_length_c 5.7260
_cell_angle_alpha 90.00
_cell_angle_beta 90.00
_cell_angle_gamma 90.00
loop_
_atom_site_label
_atom_site_type_symbol
_atom_site_fract_x
_atom_site_fract_y
_atom_site_fract_z
S1 S 0.5000 0.0000 0.0000
S2 S 0.0000 0.5000 0.0000
S3 S 0.0000 0.0000 0.5000
Na1 Na 0.5000 0.5000 0.5000
K1 K 0.0000 0.0000 0.0000

Least stable = b

## a
# K3NaS2 (PBE, optimized geometry)
# Volume = 27.622 A^3/atom
data_K3NaS2
_chemical_formula_sum 'K3 Na1 S2'
_space_group_name_H-M_alt 'P 1'
_space_group_IT_number 1
_space_group_name_Hall 'P 1'
_cell_length_a 5.0892
_cell_length_b 5.0892
_cell_length_c 7.3889
_cell_angle_alpha 90.00
_cell_angle_beta 90.00
_cell_angle_gamma 120.00
loop_
_atom_site_label
_atom_site_type_symbol
_atom_site_fract_x
_atom_site_fract_y
_atom_site_fract_z
K1 K 0.6667 0.3333 0.2488
K2 K 0.3333 0.6667 0.5000
K3 K 0.6667 0.3333 0.7512
S1 S 0.0000 0.0000 0.5000
S2 S 0.3333 0.6667 0.0000
Na1 Na 0.0000 0.0000 0.0000

## b
# K3NaS2 (PBE, optimized geometry)
# Volume = 30.616 A^3/atom
data_K3NaS2
_chemical_formula_sum 'K6 Na2 S4'
_space_group_name_H-M_alt 'P 1'
_space_group_IT_number 1
_space_group_name_Hall 'P 1'
_cell_length_a 7.4482
_cell_length_b 6.5775
_cell_length_c 8.9957
_cell_angle_alpha 111.44
_cell_angle_beta 114.46
_cell_angle_gamma 90.00
loop_
_atom_site_label
_atom_site_type_symbol
_atom_site_fract_x
_atom_site_fract_y
_atom_site_fract_z
K1 K 0.0045 0.1863 0.3727
K2 K 0.5000 0.2500 0.0000
K3 K 0.9955 0.8137 0.6273
K4 K 0.3682 0.6863 0.3727
K5 K 0.5000 0.7500 0.0000
K6 K 0.6318 0.3137 0.6273
S1 S 0.8935 0.6116 0.2231
S2 S 0.1065 0.3884 0.7769
S3 S 0.6704 0.8884 0.7769
S4 S 0.3296 0.1116 0.2231
Na1 Na 0.0000 0.7500 0.0000
Na2 Na 0.0000 0.2500 0.0000

## c
# K3NaS2 (PBE, optimized geometry)
# Volume = 34.253 A^3/atom
data_K3NaS2
_chemical_formula_sum 'K6 Na2 S4'
_space_group_name_H-M_alt 'P 1'
_space_group_IT_number 1
_space_group_name_Hall 'P 1'
_cell_length_a 7.3484
_cell_length_b 7.6363
_cell_length_c 9.0406
_cell_angle_alpha 114.98
_cell_angle_beta 113.98
_cell_angle_gamma 90.00
loop_
_atom_site_label
_atom_site_type_symbol
_atom_site_fract_x
_atom_site_fract_y
_atom_site_fract_z
Na1 Na 0.0000 0.0000 0.0000
Na2 Na 0.0000 0.5000 0.0000
K1 K 0.7566 0.5066 0.5133
K2 K 0.5000 0.2500 0.0000
K3 K 0.2434 0.4934 0.4867
K4 K 0.2434 0.9934 0.4867
K5 K 0.7566 0.0066 0.5133
K6 K 0.5000 0.7500 0.0000
S1 S 0.3842 0.6274 0.2547
S2 S 0.6158 0.3726 0.7453
S3 S 0.1294 0.8726 0.7453
S4 S 0.8706 0.1274 0.2547

Least stable = a